1.
Material: Ag2Hg2F5
Method: DFT, PBE
State: optimized geometry

Summary:
* ΔE_f (raw): -1.12 eV/atom
* energy above the lowest structure with this stoichiometry: 0.000 eV per atom
* total magnetization: 0.00 μB per formula unit
* theoretical density: 8.2 g/cm³

Cell lengths 16.2722, 6.3469, 6.0115 Å; angles 90.00, 111.64, 90.00 degrees
Space group C2 (No. 5)
One atom of each set of equivalent atoms:
Ag  0.0991  0.9998  0.0932 x4
Ag  0.0989  0.5000  0.6054 x4
Hg  0.0000  0.3677  0.0000 x2
Hg  0.0000  0.8677  0.5000 x2
Hg  0.2500  0.0698  0.7323 x4
F  0.0922  0.1400  0.7151 x4
F  0.0924  0.6398  0.9707 x4
F  0.1585  0.3148  0.3450 x4
F  0.1593  0.8151  0.4733 x4
F  0.2500  0.3993  0.8917 x4

***

2.
Material: InSe
Method: DFT, PBE
State: optimized geometry

Summary:
* ΔE_f (raw): -0.24 eV/atom
* total magnetization: 0.00 μB per formula unit
* theoretical density: 5.7 g/cm³

Cell lengths 4.0276, 4.0276, 8.0696 Å; angles 90.00, 90.00, 120.00 degrees
Space group P-3m1 (No. 164)
One atom of each set of equivalent atoms:
In  0.3333  0.6667  0.1618 x2
Se  0.3333  0.6667  0.6634 x2

***

3.
Material: Co2SnPt
Method: DFT, PBE
State: optimized geometry

Summary:
* total magnetization: 2.98 μB per formula unit
* formation enthalpy at 0 K: 268 meV/atom
* theoretical density: 10.8 g/cm³

Cell lengths 3.8138, 3.8138, 18.2373 Å; angles 90.00, 90.00, 90.00 degrees
Space group I-42d (No. 122)
One atom of each set of equivalent atoms:
Co  0.1850  0.2500  0.1250 x8
Sn  0.0000  0.0000  0.5000 x4
Pt  0.0000  0.0000  0.0000 x4

***

4.
Material: ScIrO2F
Method: DFT, PBE
State: optimized geometry

Summary:
* ΔE_f (raw): -1.15 eV/atom
* total magnetization: 3.04 μB per formula unit
* theoretical density: 7.1 g/cm³

Cell lengths 4.1511, 4.1511, 3.9023 Å; angles 90.00, 90.00, 90.00 degrees
Space group P4/mmm (No. 123)
One atom of each set of equivalent atoms:
Sc  0.0000  0.0000  0.0000 x1
Ir  0.5000  0.5000  0.5000 x1
O  0.0000  0.5000  0.0000 x2
F  0.0000  0.0000  0.5000 x1